VASP calculation (PBE-GGA) on a geometry-optimized CeSmTeIr structure.

Lattice parameters (Å, degrees): 4.1474 4.1477 7.9268 90.00 105.16 120.00
Each line ends with the local moment (μB).
Positions (direct):
Te  0.9675  0.3818  0.3643  -0.01
Ce  0.1046  0.9503  0.0701  0.36
Sm  0.4966  0.1462  0.6581  0.00
Ir  0.3093  0.5525  0.8772  -0.04

## Properties
* SG: No. 160
* magnetic moment: 0.35 μB/f.u.
* uncorrected energy: -26.770 eV per cell
* raw formation energy: -1.029 eV/atom